Density functional theory data (PBE-GGA) for crystalline Lu2CoTc at its relaxed geometry.

abc: 3.3380 3.3380 6.6003
angles: 90.00 90.00 90.00
Space group P4/mmm (No. 123)
Inequivalent atoms, fractional coordinates:
Lu 0.0000 0.0000 0.2442 x2
Co 0.5000 0.5000 0.0000 x1
Tc 0.5000 0.5000 0.5000 x1

## Properties
ΔH_f (0 K) = -0.33 eV/f.u.
M_tot = 1.22 μB per cell
Excess energy over the best structure of this formula in the dataset = 0.0 meV/atom
Calculated total energy = -6.71 eV per atom